ZrNi4As2 | PBEsol | relaxed

Unit cell a=6.988 b=6.988 c=3.714 alpha=90.00 beta=90.00 gamma=90.00
Space group P4_2/mnm (No. 136)
Unique sites:
Zr  0.000  0.000  0.000 (multiplicity 2)
Ni  0.091  0.345  0.500 (multiplicity 8)
As  0.217  0.783  0.500 (multiplicity 4)

Values from the calculation:
As for the density of states at the Fermi level: 11.9 states/eV per cell. The calculated density comes out at 8.712 g cm⁻³. For the formation energy from the elements, the calculation gives -0.61 eV/atom. The total energy comes out at -6.89 eV/atom.